Density functional theory data (PBE-GGA) for Nd2PtN after structural relaxation.

Results
Total DFT energy (no corrections) (eV/atom): -7.0124
SG: R-3m
Uncorrected formation energy (meV per atom): -1037

a = 3.7588 Å, b = 3.7588 Å, c = 7.2762 Å
α = 75.03°, β = 75.03°, γ = 60.00°
Positions (direct):
Nd  0.7357  0.7357  0.7930
Nd  0.2643  0.2643  0.2070
N  0.0000  0.0000  0.0000
Pt  0.5000  0.5000  0.5000

=====

Density functional theory data (PBE-GGA) for CaHfAsO6 after structural relaxation.

Results
Total DFT energy (no corrections) (eV/atom): -7.3951
SG: P-31c
Uncorrected formation energy (meV per atom): -2245

a = 5.2784 Å, b = 5.2784 Å, c = 9.8390 Å
α = 90.00°, β = 90.00°, γ = 120.00°
Positions (direct):
O  0.0324  0.3844  0.1436
O  0.0324  0.6480  0.3564
O  0.9676  0.3520  0.6436
O  0.6156  0.9676  0.3564
O  0.3844  0.0324  0.6436
O  0.3844  0.3520  0.8564
O  0.6156  0.6480  0.1436
O  0.6480  0.0324  0.8564
O  0.3520  0.3844  0.3564
O  0.9676  0.6156  0.8564
O  0.6480  0.6156  0.6436
O  0.3520  0.9676  0.1436
As  0.3333  0.6667  0.2500
As  0.6667  0.3333  0.7500
Ca  0.0000  0.0000  0.0000
Ca  0.0000  0.0000  0.5000
Hf  0.6667  0.3333  0.2500
Hf  0.3333  0.6667  0.7500

=====

Density functional theory data (PBE-GGA) for CoTe6Rh2 after structural relaxation.

Results
Total DFT energy (no corrections) (eV/atom): -4.8122
SG: C2/m
Uncorrected formation energy (meV per atom): -295
Relative energy among the computed polymorphs (meV/atom): 0

a = 3.9678 Å, b = 6.3422 Å, c = 12.7985 Å
α = 124.77°, β = 90.00°, γ = 108.23°
Positions (direct):
Te  0.6566  0.3132  0.0337
Te  0.9860  0.9721  0.6915
Te  0.3334  0.6667  0.3777
Te  0.0140  0.0279  0.3085
Te  0.6666  0.3333  0.6223
Te  0.3434  0.6868  0.9663
Rh  0.6640  0.3281  0.8288
Rh  0.3360  0.6719  0.1712
Co  0.0000  0.0000  0.5000

=====

Density functional theory data (PBE-GGA) for PuTh2PaN6 after structural relaxation.

Results
Total DFT energy (no corrections) (eV/atom): -10.2822
SG: R3
Uncorrected formation energy (meV per atom): -1420

a = 6.0821 Å, b = 6.0821 Å, c = 6.0377 Å
α = 59.76°, β = 59.76°, γ = 60.00°
Positions (direct):
N  0.6037  0.1770  0.2711
N  0.4440  0.6732  0.7740
N  0.6732  0.1088  0.7741
N  0.1088  0.4440  0.7741
N  0.9481  0.6037  0.2711
N  0.1770  0.9481  0.2711
Pa  0.8103  0.8103  0.5692
Th  0.0411  0.0411  0.8767
Th  0.5425  0.5425  0.3724
Pu  0.3129  0.3129  0.0614

=====

Density functional theory data (PBE-GGA) for KZrMn2Os after structural relaxation.

Results
Total DFT energy (no corrections) (eV/atom): -5.5637
SG: P4/mmm
E_form (eV per atom): 2.279

a = 4.6952 Å, b = 5.1191 Å, c = 4.6952 Å
α = 90.00°, β = 90.00°, γ = 90.00°
Positions (direct):
Zr  0.0000  0.0000  0.0000
Mn  0.0000  0.0000  0.5000
Mn  0.5000  0.0000  0.0000
Os  0.5000  0.5000  0.5000
K  0.0000  0.5000  0.0000

=====

Density functional theory data (PBE-GGA) for AlSbPt2 after structural relaxation.

Results
Total DFT energy (no corrections) (eV/atom): -5.0667
SG: F-43m
Uncorrected formation energy (meV per atom): -80
Relative energy among the computed polymorphs (meV/atom): 469

a = 4.6520 Å, b = 4.6520 Å, c = 4.6520 Å
α = 60.00°, β = 60.00°, γ = 60.00°
Positions (direct):
Al  0.5000  0.5000  0.5000
Pt  0.0000  0.0000  0.0000
Pt  0.7500  0.7500  0.7500
Sb  0.2500  0.2500  0.2500

=====

Density functional theory data (PBE-GGA) for Na2LiTlN after structural relaxation.

Results
Total DFT energy (no corrections) (eV/atom): -2.7395
SG: P4/mmm
Uncorrected formation energy (meV per atom): 309

a = 4.7040 Å, b = 4.9448 Å, c = 4.7040 Å
α = 90.00°, β = 90.00°, γ = 90.00°
Positions (direct):
Tl  0.0000  0.5000  0.0000
Na  0.0000  0.0000  0.5000
Na  0.5000  0.0000  0.0000
Li  0.5000  0.5000  0.5000
N  0.0000  0.0000  0.0000

=====

Density functional theory data (PBE-GGA) for ReTe2NO after structural relaxation.

Results
Total DFT energy (no corrections) (eV/atom): -5.7041
SG: P4/mmm
Uncorrected formation energy (meV per atom): 699
Relative energy among the computed polymorphs (meV/atom): 0

a = 5.2701 Å, b = 5.2701 Å, c = 3.7040 Å
α = 90.00°, β = 90.00°, γ = 90.00°
Positions (direct):
Re  0.0000  0.0000  0.0000
Te  0.5000  0.0000  0.0000
Te  0.0000  0.5000  0.0000
N  0.0000  0.0000  0.5000
O  0.5000  0.5000  0.5000

=====

Density functional theory data (PBE-GGA) for HfAl2Zn after structural relaxation.

Results
Total DFT energy (no corrections) (eV/atom): -4.7385
SG: R-3m
E_form (eV per atom): -0.060

a = 4.1952 Å, b = 4.1952 Å, c = 5.2295 Å
α = 66.35°, β = 66.35°, γ = 60.00°
Positions (direct):
Zn  0.0000  0.0000  0.0000
Al  0.7197  0.7197  0.8409
Al  0.2803  0.2803  0.1591
Hf  0.5000  0.5000  0.5000

=====

Density functional theory data (PBE-GGA) for La3Tl3GeS8 after structural relaxation.

Results
Total DFT energy (no corrections) (eV/atom): -5.1457
SG: R-3m
Uncorrected formation energy (meV per atom): -1178

a = 8.2917 Å, b = 8.2920 Å, c = 8.9453 Å
α = 117.60°, β = 90.00°, γ = 120.00°
Positions (direct):
S  0.7933  0.0208  0.3141
S  0.2066  0.4133  0.6859
S  0.2650  0.5300  0.2950
S  0.2067  0.9792  0.6859
S  0.7726  0.9792  0.6859
S  0.7350  0.4700  0.7050
S  0.7934  0.5867  0.3141
S  0.2274  0.0208  0.3141
Tl  0.5000  0.5000  0.0000
Tl  0.0000  0.5000  0.0000
Tl  0.0000  0.0000  0.0000
La  0.5000  0.0000  0.5000
La  0.5000  0.5000  0.5000
La  0.0000  0.5000  0.5000
Ge  0.0000  0.0000  0.5000

=====

Density functional theory data (PBE-GGA) for Sr3VS after structural relaxation.

Results
Total DFT energy (no corrections) (eV/atom): -3.9084
SG: Pm-3m
Uncorrected formation energy (meV per atom): -250
Relative energy among the computed polymorphs (meV/atom): 0

a = 5.7593 Å, b = 5.7593 Å, c = 5.7593 Å
α = 90.00°, β = 90.00°, γ = 90.00°
Positions (direct):
Sr  0.0000  0.5000  0.0000
Sr  0.0000  0.0000  0.5000
Sr  0.5000  0.0000  0.0000
S  0.0000  0.0000  0.0000
V  0.5000  0.5000  0.5000

=====

Density functional theory data (PBE-GGA) for Y4CoIr after structural relaxation.

Results
Total DFT energy (no corrections) (eV/atom): -6.0652
SG: F-43m
E_form (eV per atom): 0.905
Relative energy among the computed polymorphs (meV/atom): 1310

a = 5.9103 Å, b = 5.9103 Å, c = 5.9103 Å
α = 60.00°, β = 60.00°, γ = 60.00°
Positions (direct):
Ir  0.0000  0.0000  0.0000
Y  0.8776  0.3741  0.3741
Y  0.3741  0.8776  0.3741
Y  0.3741  0.3741  0.3741
Y  0.3741  0.3741  0.8776
Co  0.7500  0.7500  0.7500